Record 1
CsCd4Hg12 PBE relaxed; formation energy = -0.022 eV per atom
1.0
-5.162 5.162 5.162
5.162 -5.162 5.162
5.162 5.162 -5.162
Cs Cd Hg
1 4 12
direct
0.000 0.000 0.000 Cs
0.000 0.000 0.500 Cd
0.000 0.500 0.000 Cd
0.500 0.000 0.000 Cd
0.500 0.500 0.500 Cd
0.151 0.504 0.353 Hg
0.151 0.798 0.647 Hg
0.202 0.353 0.849 Hg
0.353 0.151 0.504 Hg
0.353 0.849 0.202 Hg
0.496 0.647 0.849 Hg
0.504 0.353 0.151 Hg
0.647 0.151 0.798 Hg
0.647 0.849 0.496 Hg
0.798 0.647 0.151 Hg
0.849 0.202 0.353 Hg
0.849 0.496 0.647 Hg

Record 2
TaFeCo2 PBE relaxed; formation energy = -0.009 eV per atom; excess energy over the best structure of this formula in the dataset = 164.3 meV per atom
1.0
0.000 2.929 2.929
2.929 0.000 2.929
2.929 2.929 0.000
Ta Fe Co
1 1 2
direct
0.000 0.000 0.000 Ta
0.750 0.750 0.750 Fe
0.250 0.250 0.250 Co
0.500 0.500 0.500 Co

Record 3
Sm5Si2B8 PBE relaxed; formation energy without anion corrections = -606.3 meV per atom
1.0
7.351 0.000 0.000
0.000 7.351 0.000
0.000 0.000 8.370
Sm Si B
10 4 16
direct
0.000 0.000 0.000 Sm
0.181 0.319 0.276 Sm
0.181 0.319 0.724 Sm
0.319 0.819 0.276 Sm
0.319 0.819 0.724 Sm
0.500 0.500 0.000 Sm
0.681 0.181 0.276 Sm
0.681 0.181 0.724 Sm
0.819 0.681 0.276 Sm
0.819 0.681 0.724 Sm
0.113 0.613 0.000 Si
0.387 0.113 0.000 Si
0.613 0.887 0.000 Si
0.887 0.387 0.000 Si
0.000 0.000 0.344 B
0.000 0.000 0.656 B
0.039 0.828 0.500 B
0.091 0.591 0.500 B
0.172 0.039 0.500 B
0.328 0.539 0.500 B
0.409 0.091 0.500 B
0.461 0.328 0.500 B
0.500 0.500 0.344 B
0.500 0.500 0.656 B
0.539 0.672 0.500 B
0.591 0.909 0.500 B
0.672 0.461 0.500 B
0.828 0.961 0.500 B
0.909 0.409 0.500 B
0.961 0.172 0.500 B

Record 4
PrBiH6Ir2 PBE relaxed; uncorrected energy = -4.880 eV per atom
1.0
4.103 -6.024 0.000
4.103 6.024 0.000
-0.011 0.000 4.679
Pr Bi H Ir
2 2 12 4
direct
0.169 0.831 0.750 Pr
0.831 0.169 0.250 Pr
0.407 0.593 0.250 Bi
0.593 0.407 0.750 Bi
0.077 0.443 0.972 H
0.078 0.444 0.525 H
0.132 0.132 0.499 H
0.132 0.132 0.999 H
0.443 0.077 0.472 H
0.444 0.078 0.025 H
0.556 0.922 0.975 H
0.557 0.923 0.528 H
0.868 0.868 0.001 H
0.868 0.868 0.501 H
0.922 0.556 0.475 H
0.923 0.557 0.028 H
0.167 0.326 0.749 Ir
0.326 0.167 0.249 Ir
0.674 0.833 0.751 Ir
0.833 0.674 0.251 Ir

Record 5
EuDy2O PBE relaxed; formation energy without anion corrections = -736.3 meV per atom; excess energy over the best structure of this formula in the dataset = 471.3 meV per atom
1.0
3.168 0.000 0.000
0.000 3.168 0.000
0.000 0.000 9.204
Eu Dy O
1 2 1
direct
0.000 0.000 0.000 Eu
0.500 0.500 0.333 Dy
0.500 0.500 0.667 Dy
0.000 0.000 0.500 O

Record 6
K12Rb5Cl3 PBE relaxed; formation energy without anion corrections = -376.1 meV per atom
1.0
-11.952 11.952 11.952
11.952 -11.952 11.952
11.952 11.952 -11.952
K Rb Cl
48 20 12
direct
0.012 0.626 0.367 K
0.012 0.886 0.644 K
0.114 0.259 0.126 K
0.114 0.356 0.988 K
0.126 0.114 0.259 K
0.126 0.512 0.867 K
0.133 0.759 0.644 K
0.133 0.874 0.488 K
0.144 0.259 0.633 K
0.144 0.386 0.512 K
0.241 0.356 0.867 K
0.241 0.386 0.374 K
0.259 0.126 0.114 K
0.259 0.633 0.144 K
0.356 0.867 0.241 K
0.356 0.988 0.114 K
0.367 0.012 0.626 K
0.367 0.856 0.741 K
0.374 0.241 0.386 K
0.374 0.633 0.988 K
0.386 0.374 0.241 K
0.386 0.512 0.144 K
0.488 0.133 0.874 K
0.488 0.856 0.614 K
0.512 0.144 0.386 K
0.512 0.867 0.126 K
0.614 0.488 0.856 K
0.614 0.626 0.759 K
0.626 0.367 0.012 K
0.626 0.759 0.614 K
0.633 0.144 0.259 K
0.633 0.988 0.374 K
0.644 0.012 0.886 K
0.644 0.133 0.759 K
0.741 0.367 0.856 K
0.741 0.874 0.886 K
0.759 0.614 0.626 K
0.759 0.644 0.133 K
0.856 0.614 0.488 K
0.856 0.741 0.367 K
0.867 0.126 0.512 K
0.867 0.241 0.356 K
0.874 0.488 0.133 K
0.874 0.886 0.741 K
0.886 0.644 0.012 K
0.886 0.741 0.874 K
0.988 0.114 0.356 K
0.988 0.374 0.633 K
0.000 0.000 0.000 Rb
0.000 0.000 0.500 Rb
0.000 0.500 0.000 Rb
0.000 0.500 0.500 Rb
0.125 0.750 0.875 Rb
0.125 0.875 0.250 Rb
0.250 0.125 0.875 Rb
0.250 0.625 0.375 Rb
0.375 0.250 0.625 Rb
0.375 0.625 0.750 Rb
0.500 0.000 0.000 Rb
0.500 0.000 0.500 Rb
0.500 0.500 0.000 Rb
0.500 0.500 0.500 Rb
0.625 0.375 0.250 Rb
0.625 0.750 0.375 Rb
0.750 0.375 0.625 Rb
0.750 0.875 0.125 Rb
0.875 0.125 0.750 Rb
0.875 0.250 0.125 Rb
0.125 0.250 0.375 Cl
0.125 0.375 0.750 Cl
0.250 0.375 0.125 Cl
0.250 0.875 0.625 Cl
0.375 0.125 0.250 Cl
0.375 0.750 0.125 Cl
0.625 0.250 0.875 Cl
0.625 0.875 0.750 Cl
0.750 0.125 0.375 Cl
0.750 0.625 0.875 Cl
0.875 0.625 0.250 Cl
0.875 0.750 0.625 Cl

Record 7
LaNdTlAg PBE relaxed; formation energy = -0.327 eV per atom
1.0
0.000 3.881 3.881
3.881 0.000 3.881
3.881 3.881 0.000
La Nd Tl Ag
1 1 1 1
direct
0.000 0.000 0.000 La
0.500 0.500 0.500 Nd
0.250 0.250 0.250 Tl
0.750 0.750 0.750 Ag

Record 8
TaNiRu PBE relaxed; formation energy = -0.136 eV per atom; excess energy over the best structure of this formula in the dataset = 162.7 meV per atom
1.0
4.721 -1.786 0.000
4.721 1.786 0.000
-1.934 0.000 5.143
Ta Ni Ru
2 2 2
direct
0.000 0.000 0.000 Ta
0.667 0.667 0.779 Ta
0.348 0.348 0.645 Ni
0.989 0.989 0.490 Ni
0.339 0.339 0.145 Ru
0.677 0.677 0.317 Ru